15
Lattice="-5.921 -3.935 1.142 3.236 -0.147 -6.430 3.614 -3.714 5.936" Properties=species:S:1:pos:R:3 comment="Rb3Pm3UO8 PBE-GGA optimized geometry" spacegroup="R-3m, No. 166" dft_energy_ev_per_atom=-7.257 total_magnetization_mub_per_cell=2.001 raw_formation_energy_kj_per_mol_fu=-3932 pbc="T T T"
O -1.600 -4.420 -0.827
O 1.326 -2.370 -1.293
O 4.246 -3.456 -1.938
O 1.105 -5.544 -1.332
O -0.176 -2.254 1.980
O -3.317 -4.341 2.586
O 2.529 -3.377 1.475
O -0.397 -5.427 1.941
Rb 0.000 0.000 0.000
Rb 1.618 -0.074 -3.215
Rb -1.343 -2.041 -2.644
Pm 0.464 -3.899 0.324
Pm 3.425 -1.931 -0.247
Pm -1.154 -3.825 3.539
U 1.807 -1.857 2.968